No. 1
Below is crystalline Ga5Sn3I12 at its relaxed geometry, with properties calculated at the PBE level.

Unit cell a=18.8511 b=18.8511 c=18.8511 alpha=90.00 beta=90.00 gamma=90.00
Space group Ia-3d (No. 230)
Unique sites:
Ga (0.0000, 0.0000, 0.0000) (multiplicity 16)
Ga (0.0000, 0.2500, 0.3750) (multiplicity 24)
Sn (0.0000, 0.2500, 0.1250) (multiplicity 24)
I (0.0248, 0.0740, 0.6532) (multiplicity 96)

Computed properties:
- Raw formation energy: -0.2585 eV per atom
- Size of the total moment: 0.00 μB/atom



No. 2
Below is crystalline SiPOs2 at its relaxed geometry, with properties calculated at the PBE level.

Unit cell a=2.8482 b=5.0439 c=7.8745 alpha=90.00 beta=90.00 gamma=90.00
Space group Immm (No. 71)
Unique sites:
Si (0.0000, 0.0000, 0.0000) (multiplicity 2)
P (0.0000, 0.0000, 0.5000) (multiplicity 2)
Os (0.0000, 0.5000, 0.2385) (multiplicity 4)

Computed properties:
- Raw formation energy: 0.3191 eV per atom
- Size of the total moment: 0.00 μB/atom



No. 3
Below is crystalline ZrSc2Tc at its relaxed geometry, with properties calculated at the PBE level.

Unit cell a=3.1276 b=4.5659 c=5.8146 alpha=90.00 beta=105.26 gamma=90.00
Space group P2/m (No. 10)
Unique sites:
Zr (0.0000, 0.0000, 0.0000) (multiplicity 1)
Sc (0.3361, 0.5000, 0.7276) (multiplicity 2)
Tc (0.5000, 0.0000, 0.5000) (multiplicity 1)

Computed properties:
- Final energy: -7.94 eV per atom
- Size of the total moment: 0.00 μB/atom



No. 4
Below is crystalline YRhW2 at its relaxed geometry, with properties calculated at the PBE level.

Unit cell a=5.3952 b=9.7801 c=2.8543 alpha=90.00 beta=109.39 gamma=90.00
Space group C2/m (No. 12)
Unique sites:
Y (0.0000, 0.0000, 0.0000) (multiplicity 2)
Rh (0.0000, 0.5000, 0.0000) (multiplicity 2)
W (0.2500, 0.2500, 0.5000) (multiplicity 4)

Computed properties:
- Final energy: -9.64 eV per atom
- Size of the total moment: 0.00 μB/atom



No. 5
Below is crystalline Ho2Al4GaCu3 at its relaxed geometry, with properties calculated at the PBE level.

Unit cell a=4.1468 b=4.1468 c=10.2379 alpha=90.00 beta=90.00 gamma=90.00
Space group P-4m2 (No. 115)
Unique sites:
Ho (0.0000, 0.5000, 0.2476) (multiplicity 2)
Al (0.0000, 0.0000, 0.0000) (multiplicity 1)
Al (0.0000, 0.5000, 0.6415) (multiplicity 2)
Al (0.5000, 0.5000, 0.0000) (multiplicity 1)
Ga (0.0000, 0.0000, 0.5000) (multiplicity 1)
Cu (0.0000, 0.5000, 0.8711) (multiplicity 2)
Cu (0.5000, 0.5000, 0.5000) (multiplicity 1)

Computed properties:
- Final energy: -4.37 eV per atom
- Size of the total moment: 0.00 μB/atom



No. 6
Below is crystalline ErLuIrRu at its relaxed geometry, with properties calculated at the PBE level.

Unit cell a=6.7188 b=6.7188 c=6.7188 alpha=90.00 beta=90.00 gamma=90.00
Space group F-43m (No. 216)
Unique sites:
Er (0.0000, 0.0000, 0.0000) (multiplicity 4)
Lu (0.0000, 0.0000, 0.5000) (multiplicity 4)
Ir (0.2500, 0.2500, 0.2500) (multiplicity 4)
Ru (0.2500, 0.2500, 0.7500) (multiplicity 4)

Computed properties:
- Final energy: -7.53 eV per atom
- Size of the total moment: 0.00 μB/atom



No. 7
Below is crystalline Tb4DyHo2Mg at its relaxed geometry, with properties calculated at the PBE level.

Unit cell a=4.9646 b=4.9646 c=9.9269 alpha=90.00 beta=90.00 gamma=90.00
Space group P4/mmm (No. 123)
Unique sites:
Tb (0.0000, 0.5000, 0.2474) (multiplicity 4)
Dy (0.0000, 0.0000, 0.5000) (multiplicity 1)
Ho (0.0000, 0.0000, 0.0000) (multiplicity 1)
Ho (0.5000, 0.5000, 0.5000) (multiplicity 1)
Mg (0.5000, 0.5000, 0.0000) (multiplicity 1)

Computed properties:
- Final energy: -4.22 eV per atom
- Size of the total moment: 0.00 μB/atom



No. 8
Below is crystalline CaHoEr at its relaxed geometry, with properties calculated at the PBE level.

Unit cell a=3.6101 b=3.6101 c=15.4884 alpha=90.00 beta=90.00 gamma=90.00
Space group I4mm (No. 107)
Unique sites:
Ca (0.0000, 0.0000, 0.0000) (multiplicity 2)
Ho (0.0000, 0.0000, 0.3227) (multiplicity 2)
Er (0.0000, 0.0000, 0.6766) (multiplicity 2)

Computed properties:
- Final energy: -3.64 eV per atom
- Size of the total moment: 0.00 μB/atom



No. 9
Below is crystalline NdThSbPb at its relaxed geometry, with properties calculated at the PBE level.

Unit cell a=4.5521 b=4.5521 c=22.2669 alpha=90.00 beta=90.00 gamma=120.00
Space group R3m (No. 160, hexagonal axes)
Unique sites:
Nd (0.0000, 0.0000, 0.0000) (multiplicity 3)
Th (0.0000, 0.0000, 0.5008) (multiplicity 3)
Sb (0.0000, 0.0000, 0.2499) (multiplicity 3)
Pb (0.0000, 0.0000, 0.7506) (multiplicity 3)

Computed properties:
- Raw formation energy: -0.7252 eV per atom
- Size of the total moment: 0.00 μB/atom



No. 10
Below is crystalline CsRb3Mg at its relaxed geometry, with properties calculated at the PBE level.

Unit cell a=7.5928 b=7.5928 c=7.5928 alpha=90.00 beta=90.00 gamma=90.00
Space group Pm-3m (No. 221)
Unique sites:
Cs (0.0000, 0.0000, 0.0000) (multiplicity 1)
Rb (0.0000, 0.5000, 0.5000) (multiplicity 3)
Mg (0.5000, 0.5000, 0.5000) (multiplicity 1)

Computed properties:
- Final energy: -0.89 eV per atom
- Size of the total moment: 0.00 μB/atom



No. 11
Below is crystalline YH2Au2 at its relaxed geometry, with properties calculated at the PBE level.

Unit cell a=3.6179 b=3.6179 c=11.0981 alpha=90.00 beta=90.00 gamma=90.00
Space group I4/mmm (No. 139)
Unique sites:
Y (0.0000, 0.0000, 0.0000) (multiplicity 2)
H (0.0000, 0.5000, 0.2500) (multiplicity 4)
Au (0.0000, 0.0000, 0.3424) (multiplicity 4)

Computed properties:
- Final energy: -4.07 eV per atom
- Size of the total moment: 0.00 μB/atom



No. 12
Below is crystalline CoNiOsRu2 at its relaxed geometry, with properties calculated at the PBE level.

Unit cell a=4.6441 b=4.6441 c=4.4830 alpha=90.00 beta=90.00 gamma=90.00
Space group P4/mmm (No. 123)
Unique sites:
Co (0.0000, 0.0000, 0.0000) (multiplicity 1)
Ni (0.5000, 0.5000, 0.0000) (multiplicity 1)
Os (0.5000, 0.5000, 0.5000) (multiplicity 1)
Ru (0.0000, 0.5000, 0.5000) (multiplicity 2)

Computed properties:
- Final energy: -6.67 eV per atom
- Size of the total moment: 0.73 μB/atom